(1)
Crystalline K2As at its relaxed geometry, computed with GGA-PBE.

Structure (POSCAR):
```
K2As
1.0
8.1142 -0.0249 0.6786
6.1339 5.3118 0.6786
5.7098 2.1187 5.3872
K As
4 2
Cartesian
6.9172 2.5667 5.2280
12.5514 4.6573 3.6718
15.7384 5.8399 4.7332
4.3945 1.6306 0.9023
9.6428 3.5781 2.6737
7.3030 2.7099 1.9003
```

Results
energy	-2.63	eV per atom

***

(2)
Crystalline Ac2HgBiPd6 at its relaxed geometry, computed with GGA-PBE.

Structure (POSCAR):
```
Ac2HgBiPd6
1.0
-2.5479 6.4749 -0.9450
-4.7768 0.6042 4.9714
-1.9757 6.9672 5.9323
Pd Hg Ac Bi
6 1 2 1
Cartesian
-5.8143 7.7375 8.2698
-3.4861 6.3089 1.6890
-7.5304 12.0982 9.1196
-6.4030 8.9728 5.8117
-2.8974 5.0736 4.1471
-1.7700 1.9481 0.8392
-3.6623 3.5396 2.0132
-4.1122 8.6595 3.5678
-5.1882 5.3869 6.3909
0.0000 0.0000 0.0000
```

Results
energy	-4.91	eV per atom

***

(3)
Crystalline Li2MgZn2In2 at its relaxed geometry, computed with GGA-PBE.

Structure (POSCAR):
```
Li2MgZn2In2
1.0
4.6149 0.0000 0.0000
2.3074 3.9966 0.0000
2.3074 1.3322 7.3647
In Zn Li Mg
2 2 2 1
Cartesian
2.3074 1.3322 1.4818
6.9223 3.9966 5.8829
4.6149 2.6644 5.0250
4.6149 2.6644 2.3397
6.9223 3.9966 3.0066
2.3074 1.3322 4.3581
0.0000 0.0000 0.0000
```

Results
energy	-2.04	eV per atom

***

(4)
Crystalline Tb2ErMg at its relaxed geometry, computed with GGA-PBE.

Structure (POSCAR):
```
Tb2ErMg
1.0
-3.5647 -1.0562 -1.0269
-0.9091 -1.8940 5.1036
-1.9018 4.9588 1.5014
Mg Tb Er
1 2 1
Cartesian
-1.7823 -0.5281 -0.5135
-0.9509 2.4794 0.7507
-0.4546 -0.9470 2.5518
-3.1878 1.0043 2.7891
```

Results
relative energy among the computed polymorphs	60	meV per atom
energy	-3.82	eV per atom

***

(5)
Crystalline LiZr4Tl at its relaxed geometry, computed with GGA-PBE.

Structure (POSCAR):
```
LiZr4Tl
1.0
2.8078 2.0060 4.7021
-2.8635 3.1597 3.9793
-1.1299 -2.2608 5.2565
Zr Tl Li
4 1 1
Cartesian
-1.8767 2.6695 7.2164
-0.4446 1.0893 5.2263
-1.0096 -0.0414 7.8552
0.9597 2.0925 7.5779
0.0000 0.0000 0.0000
-0.8892 2.1787 10.4534
```

Results
energy	-6.07	eV per atom

***

(6)
Crystalline Ta3NbSn at its relaxed geometry, computed with GGA-PBE.

Structure (POSCAR):
```
Ta3NbSn
1.0
8.2232 0.5191 0.4086
2.3555 6.8901 -0.6414
2.3555 0.9955 6.8479
Ta Nb Sn
12 4 4
Cartesian
8.2973 7.4016 4.2901
5.6920 2.8082 6.7579
11.1232 6.6859 3.7660
4.6369 1.0031 2.3250
3.1306 0.9167 5.2691
8.7485 2.7551 0.6330
7.0116 4.9720 5.4095
7.2422 5.5965 -0.1428
4.1857 5.6496 5.9821
9.8036 7.4880 1.3460
1.8111 1.7188 2.8491
5.9227 3.4327 1.2055
3.1277 3.8930 1.5460
5.6949 5.7277 2.9900
9.8065 4.5116 5.0691
7.2393 2.6770 3.6251
8.5229 5.0687 2.4738
4.4113 6.2837 0.3961
8.5229 2.1210 6.2190
4.4113 3.3360 4.1413
```

Results
relative energy among the computed polymorphs	0	meV per atom
energy	-9.92	eV per atom

***

(7)
Crystalline SrTa3Nb at its relaxed geometry, computed with GGA-PBE.

Structure (POSCAR):
```
SrTa3Nb
1.0
4.8142 0.0000 0.0000
0.0000 4.8142 0.0000
0.0000 0.0000 4.8142
Nb Ta Sr
1 3 1
Cartesian
2.4071 2.4071 2.4071
0.0000 2.4071 0.0000
2.4071 0.0000 0.0000
0.0000 0.0000 2.4071
0.0000 0.0000 0.0000
```

Results
relative energy among the computed polymorphs	1535	meV per atom
energy	-6.60	eV per atom

***

(8)
Crystalline LiLaTbNi at its relaxed geometry, computed with GGA-PBE.

Structure (POSCAR):
```
LiLaTbNi
1.0
-4.9691 -0.2623 0.9466
-1.8809 -3.9253 2.5906
-1.7182 0.6687 4.7178
Ni Tb La Li
1 1 1 1
Cartesian
-2.1421 -0.8797 2.0638
0.0000 0.0000 0.0000
-4.2841 -1.7594 4.1275
-6.4262 -2.6392 6.1913
```

Results
energy	-4.39	eV per atom